Nd2Mn22C3 (PBE, relaxed); space-group type = No. 12
1.0
6.034 -4.991 0.000
6.034 4.991 0.000
-3.539 0.000 5.526
Nd Mn C
2 22 3
direct
0.250 0.250 0.133 Nd
0.750 0.750 0.867 Nd
0.000 0.000 0.500 Mn
0.000 0.500 0.500 Mn
0.083 0.824 0.758 Mn
0.092 0.668 0.323 Mn
0.176 0.580 0.933 Mn
0.176 0.917 0.242 Mn
0.249 0.249 0.635 Mn
0.330 0.574 0.645 Mn
0.332 0.908 0.677 Mn
0.420 0.824 0.067 Mn
0.426 0.670 0.355 Mn
0.500 0.000 0.500 Mn
0.500 0.500 0.000 Mn
0.574 0.330 0.645 Mn
0.580 0.176 0.933 Mn
0.668 0.092 0.323 Mn
0.670 0.426 0.355 Mn
0.751 0.751 0.365 Mn
0.824 0.083 0.758 Mn
0.824 0.420 0.067 Mn
0.908 0.332 0.677 Mn
0.917 0.176 0.242 Mn
0.000 0.000 0.000 C
0.000 0.500 0.000 C
0.500 0.000 0.000 C

=====

Tb2Pt9Au (PBE, relaxed); space-group type = No. 123
1.0
4.096 0.000 0.000
0.000 4.096 0.000
0.000 0.000 12.298
Tb Pt Au
2 9 1
direct
0.000 0.000 0.170 Tb
0.000 0.000 0.830 Tb
0.000 0.500 0.000 Pt
0.000 0.500 0.338 Pt
0.000 0.500 0.662 Pt
0.500 0.000 0.000 Pt
0.500 0.000 0.338 Pt
0.500 0.000 0.662 Pt
0.500 0.500 0.169 Pt
0.500 0.500 0.500 Pt
0.500 0.500 0.831 Pt
0.000 0.000 0.500 Au

=====

Ca2TlSn (PBE, relaxed); space-group type = No. 122
1.0
-4.267 4.267 3.584
4.267 -4.267 3.584
4.267 4.267 -3.584
Ca Tl Sn
4 2 2
direct
0.122 0.625 0.997 Ca
0.375 0.372 0.497 Ca
0.628 0.125 0.003 Ca
0.875 0.878 0.503 Ca
0.250 0.750 0.500 Tl
0.500 0.500 0.000 Tl
0.000 0.000 0.000 Sn
0.750 0.250 0.500 Sn

=====

YMn6 (PBE, relaxed); space-group type = No. 229
1.0
-3.041 3.041 3.041
3.041 -3.041 3.041
3.041 3.041 -3.041
Y Mn
1 6
direct
0.000 0.000 0.000 Y
0.250 0.500 0.750 Mn
0.250 0.750 0.500 Mn
0.500 0.250 0.750 Mn
0.500 0.750 0.250 Mn
0.750 0.250 0.500 Mn
0.750 0.500 0.250 Mn

=====

| no. | energy (hartree per atom) | formation enthalpy at 0 K (eV per atom) | DOS(E_F) (states/eV/atom) |
| --- | --- | --- | --- |
| 1 | -0.326 | -0.030 | 1.146 |
| 2 | -0.228 | -0.636 | 1.326 |
| 3 | -0.103 | -0.206 | 0.682 |
| 4 | -0.298 | 0.665 | 0.882 |